No. 1
Material: ZnRe
Method: DFT, PBE
State: relaxed

```
ZnRe
1.0
2.754 0.000 0.000
-1.377 2.385 0.000
0.000 0.000 4.457
Zn Re
1 1
Direct
0.000 0.000 0.000
0.333 0.667 0.500
```

Results
M_tot ... 0.000 μB/atom
Excess energy over the best structure of this formula in the dataset ... 228 meV/atom
Theoretical density ... 14.275 g/cm³
ΔE_f ... 244.8 meV per atom

=====

No. 2
Material: Zn3Re
Method: DFT, PBE
State: relaxed

```
Zn3Re
1.0
2.798 0.000 0.000
0.000 4.518 0.000
0.000 0.000 9.104
Zn Re
6 2
Direct
0.000 0.000 0.000
0.000 0.500 0.252
0.000 0.500 0.748
0.500 0.000 0.248
0.500 0.000 0.752
0.500 0.500 0.500
0.000 0.000 0.500
0.500 0.500 0.000
```

Results
M_tot ... 0.000 μB/atom
Excess energy over the best structure of this formula in the dataset ... 117 meV/atom
Theoretical density ... 11.035 g/cm³
ΔE_f ... 213.3 meV per atom

=====

No. 3
Material: ZnRe
Method: DFT, PBE
State: relaxed

```
ZnRe
1.0
3.029 0.000 0.000
0.000 4.368 0.000
0.000 0.000 4.433
Zn Re
2 2
Direct
0.000 0.000 0.000
0.500 0.500 0.000
0.000 0.500 0.500
0.500 0.000 0.500
```

Results
M_tot ... 0.000 μB/atom
Excess energy over the best structure of this formula in the dataset ... 268 meV/atom
Theoretical density ... 14.247 g/cm³
ΔE_f ... 284.5 meV per atom

=====

No. 4
Material: ZnRe
Method: DFT, PBE
State: relaxed

```
ZnRe
1.0
8.898 0.000 0.000
0.000 2.741 0.000
-0.567 0.000 4.810
Zn Re
4 4
Direct
0.123 0.000 0.396
0.377 0.500 0.604
0.623 0.500 0.396
0.877 0.000 0.604
0.126 0.500 0.898
0.374 0.000 0.102
0.626 0.000 0.898
0.874 0.500 0.102
```

Results
M_tot ... 0.000 μB/atom
Excess energy over the best structure of this formula in the dataset ... 221 meV/atom
Theoretical density ... 14.248 g/cm³
ΔE_f ... 237.2 meV per atom

=====

No. 5
Material: ZrZn2Re
Method: DFT, PBE
State: relaxed

```
ZrZn2Re
1.0
2.729 0.000 0.000
0.000 4.216 0.000
-0.224 0.000 5.616
Zr Zn Re
1 2 1
Direct
0.000 0.000 0.000
0.492 0.500 0.726
0.508 0.500 0.274
0.000 0.000 0.500
```

Results
M_tot ... 0.000 μB/atom
Excess energy over the best structure of this formula in the dataset ... 56 meV/atom
Theoretical density ... 10.494 g/cm³
ΔE_f ... -28.3 meV per atom

=====

No. 6
Material: ZrZn3Re
Method: DFT, PBE
State: relaxed

```
ZrZn3Re
1.0
4.699 0.000 0.000
0.000 4.699 0.000
0.000 0.000 4.699
Zr Zn Re
1 3 1
Direct
0.000 0.000 0.000
0.000 0.500 0.500
0.500 0.000 0.500
0.500 0.500 0.000
0.500 0.500 0.500
```

Results
M_tot ... 0.000 μB/atom
Excess energy over the best structure of this formula in the dataset ... 0 meV/atom
Theoretical density ... 7.580 g/cm³
ΔE_f ... 788.6 meV per atom

=====

No. 7
Material: Zr3Zn2Re
Method: DFT, PBE
State: relaxed

```
Zr3Zn2Re
1.0
4.722 0.000 0.000
-2.361 4.090 0.000
0.000 0.000 11.530
Zr Zn Re
6 4 2
Direct
0.000 0.000 0.247
0.000 0.000 0.753
0.333 0.667 0.413
0.333 0.667 0.918
0.667 0.333 0.082
0.667 0.333 0.587
0.000 0.000 0.000
0.000 0.000 0.500
0.333 0.667 0.667
0.667 0.333 0.333
0.333 0.667 0.169
0.667 0.333 0.831
```

Results
M_tot ... 0.000 μB/atom
Theoretical density ... 8.810 g/cm³
ΔE_f ... -278.2 meV per atom

=====

No. 8
Material: ZrZnRe
Method: DFT, PBE
State: relaxed

```
ZrZnRe
1.0
6.087 0.000 0.000
0.000 6.087 0.000
0.000 0.000 6.087
Zr Zn Re
4 4 4
Direct
0.000 0.000 0.000
0.000 0.500 0.500
0.500 0.000 0.500
0.500 0.500 0.000
0.250 0.250 0.750
0.250 0.750 0.250
0.750 0.250 0.250
0.750 0.750 0.750
0.000 0.000 0.500
0.000 0.500 0.000
0.500 0.000 0.000
0.500 0.500 0.500
```

Results
M_tot ... 0.000 μB/atom
Excess energy over the best structure of this formula in the dataset ... 748 meV/atom
Theoretical density ... 10.098 g/cm³
ΔE_f ... 506.8 meV per atom

=====

No. 9
Material: Zr6Zn5Re
Method: DFT, PBE
State: relaxed

```
Zr6Zn5Re
1.0
2.363 -7.064 0.000
2.363 7.064 0.000
0.000 0.000 6.687
Zr Zn Re
6 5 1
Direct
0.000 0.000 0.247
0.000 0.000 0.753
0.336 0.664 0.247
0.336 0.664 0.753
0.664 0.336 0.247
0.664 0.336 0.753
0.167 0.833 0.000
0.170 0.830 0.500
0.500 0.500 0.500
0.830 0.170 0.500
0.833 0.167 0.000
0.500 0.500 0.000
```

Results
M_tot ... 0.000 μB/atom
Theoretical density ... 7.890 g/cm³
ΔE_f ... -293.9 meV per atom

=====

No. 10
Material: Zr2ZnRe2
Method: DFT, PBE
State: relaxed

```
Zr2ZnRe2
1.0
6.652 0.000 0.000
0.000 6.652 0.000
0.000 0.000 4.273
Zr Zn Re
4 2 4
Direct
0.178 0.322 0.000
0.322 0.822 0.000
0.678 0.178 0.000
0.822 0.678 0.000
0.000 0.000 0.500
0.500 0.500 0.500
0.127 0.627 0.500
0.373 0.127 0.500
0.627 0.873 0.500
0.873 0.373 0.500
```

Results
M_tot ... 0.000 μB/atom
Theoretical density ... 10.896 g/cm³
ΔE_f ... 53.4 meV per atom

=====

No. 11
Material: ZrZnRe4
Method: DFT, PBE
State: relaxed

```
ZrZnRe4
1.0
0.000 3.707 3.707
3.707 0.000 3.707
3.707 3.707 0.000
Zr Zn Re
1 1 4
Direct
0.000 0.000 0.000
0.250 0.250 0.250
0.127 0.624 0.624
0.624 0.127 0.624
0.624 0.624 0.127
0.624 0.624 0.624
```

Results
M_tot ... 0.000 μB/atom
Theoretical density ... 14.690 g/cm³
ΔE_f ... 25.0 meV per atom

=====

No. 12
Material: ZrZnRe
Method: DFT, PBE
State: relaxed

```
ZrZnRe
1.0
4.679 0.000 0.000
-2.340 4.052 0.000
0.000 0.000 2.700
Zr Zn Re
1 1 1
Direct
0.000 0.000 0.000
0.333 0.667 0.576
0.667 0.333 0.351
```

Results
M_tot ... 0.000 μB/atom
Excess energy over the best structure of this formula in the dataset ... 261 meV/atom
Theoretical density ... 11.121 g/cm³
ΔE_f ... 19.3 meV per atom

=====

No. 13
Material: ZrZn2Re
Method: DFT, PBE
State: relaxed

```
ZrZn2Re
1.0
2.828 0.000 0.000
0.000 4.357 0.000
-0.816 0.000 5.293
Zr Zn Re
1 2 1
Direct
0.000 0.000 0.000
0.378 0.000 0.500
0.426 0.500 0.751
0.763 0.500 0.283
```

Results
M_tot ... 0.000 μB/atom
Excess energy over the best structure of this formula in the dataset ... 99 meV/atom
Theoretical density ... 10.396 g/cm³
ΔE_f ... 14.9 meV per atom

=====

No. 14
Material: ZrZn2Re
Method: DFT, PBE
State: relaxed

```
ZrZn2Re
1.0
3.450 0.000 0.000
0.000 4.257 0.000
0.000 0.000 8.924
Zr Zn Re
2 4 2
Direct
0.000 0.000 0.000
0.500 0.500 0.000
0.000 0.500 0.267
0.000 0.500 0.733
0.500 0.000 0.267
0.500 0.000 0.733
0.000 0.000 0.500
0.500 0.500 0.500
```

Results
M_tot ... 0.000 μB/atom
Excess energy over the best structure of this formula in the dataset ... 241 meV/atom
Theoretical density ... 10.346 g/cm³
ΔE_f ... 156.8 meV per atom

=====

No. 15
Material: ZrZn2Re
Method: DFT, PBE
State: relaxed

```
ZrZn2Re
1.0
3.754 0.000 0.000
0.000 4.049 0.000
0.000 0.000 4.304
Zr Zn Re
1 2 1
Direct
0.000 0.000 0.000
0.000 0.500 0.500
0.500 0.000 0.500
0.500 0.500 0.000
```

Results
M_tot ... 0.000 μB/atom
Excess energy over the best structure of this formula in the dataset ... 77 meV/atom
Theoretical density ... 10.360 g/cm³
ΔE_f ... -7.5 meV per atom

=====

No. 16
Material: ZrZnRe
Method: DFT, PBE
State: relaxed

```
ZrZnRe
1.0
3.420 0.000 0.000
0.000 3.420 0.000
0.000 0.000 8.768
Zr Zn Re
2 2 2
Direct
0.000 0.000 0.000
0.500 0.500 0.500
0.000 0.000 0.681
0.500 0.500 0.181
0.000 0.000 0.333
0.500 0.500 0.833
```

Results
M_tot ... 0.000 μB/atom
Excess energy over the best structure of this formula in the dataset ... 224 meV/atom
Theoretical density ... 11.102 g/cm³
ΔE_f ... -17.5 meV per atom

=====

No. 17
Material: ZrZn2Re2
Method: DFT, PBE
State: relaxed

```
ZrZn2Re2
1.0
3.942 0.000 0.000
0.000 3.942 0.000
0.000 0.000 11.472
Zr Zn Re
2 4 4
Direct
0.000 0.000 0.000
0.500 0.500 0.500
0.000 0.500 0.250
0.000 0.500 0.750
0.500 0.000 0.250
0.500 0.000 0.750
0.000 0.000 0.400
0.000 0.000 0.600
0.500 0.500 0.100
0.500 0.500 0.900
```

Results
M_tot ... 0.000 μB/atom
Theoretical density ... 11.074 g/cm³
ΔE_f ... 404.1 meV per atom

=====

No. 18
Material: ZrZn3Re
Method: DFT, PBE
State: relaxed

```
ZrZn3Re
1.0
5.048 0.000 0.000
0.000 5.048 0.000
0.000 0.000 5.048
Zr Zn Re
1 3 1
Direct
0.000 0.000 0.000
0.000 0.000 0.500
0.000 0.500 0.000
0.500 0.000 0.000
0.500 0.500 0.500
```

Results
M_tot ... 0.320 μB/atom
Excess energy over the best structure of this formula in the dataset ... 1153 meV/atom
Theoretical density ... 6.113 g/cm³
ΔE_f ... 1941.8 meV per atom

=====

No. 19
Material: ZrZn2Re
Method: DFT, PBE
State: relaxed

```
ZrZn2Re
1.0
3.385 0.000 0.000
0.000 3.385 0.000
0.000 0.000 5.917
Zr Zn Re
1 2 1
Direct
0.000 0.000 0.000
0.000 0.000 0.477
0.500 0.500 0.699
0.500 0.500 0.231
```

Results
M_tot ... 0.000 μB/atom
Excess energy over the best structure of this formula in the dataset ... 144 meV/atom
Theoretical density ... 9.997 g/cm³
ΔE_f ... 59.7 meV per atom

=====

No. 20
Material: ZrZn2Re
Method: DFT, PBE
State: relaxed

```
ZrZn2Re
1.0
2.703 0.000 0.000
0.000 3.316 0.000
0.000 0.000 7.424
Zr Zn Re
1 2 1
Direct
0.000 0.000 0.000
0.000 0.000 0.495
0.500 0.500 0.709
0.500 0.500 0.271
```

Results
M_tot ... 0.000 μB/atom
Excess energy over the best structure of this formula in the dataset ... 166 meV/atom
Theoretical density ... 10.185 g/cm³
ΔE_f ... 82.2 meV per atom

=====

No. 21
Material: ZrZn2Re
Method: DFT, PBE
State: relaxed

```
ZrZn2Re
1.0
2.840 0.000 0.000
-1.420 2.459 0.000
0.000 0.000 28.467
Zr Zn Re
3 6 3
Direct
0.000 0.000 0.000
0.333 0.667 0.667
0.667 0.333 0.333
0.000 0.000 0.244
0.000 0.000 0.756
0.333 0.667 0.423
0.333 0.667 0.911
0.667 0.333 0.089
0.667 0.333 0.577
0.000 0.000 0.500
0.333 0.667 0.167
0.667 0.333 0.833
```

Results
M_tot ... 0.000 μB/atom
Excess energy over the best structure of this formula in the dataset ... 248 meV/atom
Theoretical density ... 10.229 g/cm³
ΔE_f ... 164.2 meV per atom

=====

No. 22
Material: ZrZn2Re
Method: DFT, PBE
State: relaxed

```
ZrZn2Re
1.0
5.503 0.000 0.000
0.000 8.678 0.000
-0.326 0.000 2.721
Zr Zn Re
2 4 2
Direct
0.000 0.000 0.000
0.500 0.500 0.000
0.250 0.250 0.500
0.250 0.750 0.500
0.750 0.250 0.500
0.750 0.750 0.500
0.000 0.500 0.000
0.500 0.000 0.000
```

Results
M_tot ... 0.000 μB/atom
Excess energy over the best structure of this formula in the dataset ... 164 meV/atom
Theoretical density ... 10.434 g/cm³
ΔE_f ... 80.1 meV per atom

=====

No. 23
Material: Zr2Zn2Re
Method: DFT, PBE
State: relaxed

```
Zr2Zn2Re
1.0
6.907 0.000 0.000
0.000 6.907 0.000
0.000 0.000 3.698
Zr Zn Re
4 4 2
Direct
0.183 0.317 0.000
0.317 0.817 0.000
0.683 0.183 0.000
0.817 0.683 0.000
0.123 0.623 0.500
0.377 0.123 0.500
0.623 0.877 0.500
0.877 0.377 0.500
0.000 0.000 0.500
0.500 0.500 0.500
```

Results
M_tot ... 0.000 μB/atom
Theoretical density ... 9.403 g/cm³
ΔE_f ... -68.4 meV per atom

=====

No. 24
Material: ZrZnRe
Method: DFT, PBE
State: relaxed

```
ZrZnRe
1.0
2.792 0.000 0.000
0.000 2.792 0.000
0.000 0.000 13.059
Zr Zn Re
2 2 2
Direct
0.000 0.000 0.000
0.500 0.500 0.500
0.000 0.000 0.674
0.500 0.500 0.174
0.000 0.000 0.322
0.500 0.500 0.822
```

Results
M_tot ... 0.000 μB/atom
Excess energy over the best structure of this formula in the dataset ... 426 meV/atom
Theoretical density ... 11.187 g/cm³
ΔE_f ... 184.0 meV per atom

=====

No. 25
Material: ZrZnRe
Method: DFT, PBE
State: relaxed

```
ZrZnRe
1.0
3.404 0.000 0.000
0.000 4.492 0.000
0.000 0.000 13.376
Zr Zn Re
4 4 4
Direct
0.000 0.000 0.000
0.000 0.500 0.500
0.500 0.000 0.500
0.500 0.500 0.000
0.000 0.000 0.321
0.000 0.500 0.821
0.500 0.000 0.821
0.500 0.500 0.321
0.000 0.000 0.668
0.000 0.500 0.168
0.500 0.000 0.168
0.500 0.500 0.668
```

Results
M_tot ... 0.000 μB/atom
Excess energy over the best structure of this formula in the dataset ... 348 meV/atom
Theoretical density ... 11.135 g/cm³
ΔE_f ... 106.3 meV per atom

=====

No. 26
Material: ZrZn2Re
Method: DFT, PBE
State: relaxed

```
ZrZn2Re
1.0
6.445 0.000 0.000
0.000 6.445 0.000
0.000 0.000 6.445
Zr Zn Re
4 8 4
Direct
0.000 0.000 0.000
0.000 0.500 0.500
0.500 0.000 0.500
0.500 0.500 0.000
0.000 0.000 0.500
0.000 0.500 0.000
0.250 0.250 0.750
0.250 0.750 0.250
0.500 0.000 0.000
0.500 0.500 0.500
0.750 0.250 0.250
0.750 0.750 0.750
0.250 0.250 0.250
0.250 0.750 0.750
0.750 0.250 0.750
0.750 0.750 0.250
```

Results
M_tot ... 0.000 μB/atom
Excess energy over the best structure of this formula in the dataset ... 256 meV/atom
Theoretical density ... 10.127 g/cm³
ΔE_f ... 172.1 meV per atom

=====

No. 27
Material: Zr3ZnRe
Method: DFT, PBE
State: relaxed

```
Zr3ZnRe
1.0
5.071 0.000 0.000
0.000 5.071 0.000
0.000 0.000 5.071
Zr Zn Re
3 1 1
Direct
0.000 0.000 0.500
0.000 0.500 0.000
0.500 0.000 0.000
0.500 0.500 0.500
0.000 0.000 0.000
```

Results
M_tot ... 0.222 μB/atom
Excess energy over the best structure of this formula in the dataset ... 0 meV/atom
Theoretical density ... 6.690 g/cm³
ΔE_f ... 626.4 meV per atom

=====

No. 28
Material: ZrZn2Re
Method: DFT, PBE
State: relaxed

```
ZrZn2Re
1.0
6.357 0.000 0.000
0.000 6.357 0.000
0.000 0.000 6.357
Zr Zn Re
4 8 4
Direct
0.000 0.000 0.000
0.000 0.500 0.500
0.500 0.000 0.500
0.500 0.500 0.000
0.250 0.250 0.250
0.250 0.250 0.750
0.250 0.750 0.250
0.250 0.750 0.750
0.750 0.250 0.250
0.750 0.250 0.750
0.750 0.750 0.250
0.750 0.750 0.750
0.000 0.000 0.500
0.000 0.500 0.000
0.500 0.000 0.000
0.500 0.500 0.500
```

Results
M_tot ... 0.000 μB/atom
Excess energy over the best structure of this formula in the dataset ... 166 meV/atom
Theoretical density ... 10.558 g/cm³
ΔE_f ... 81.8 meV per atom

=====

No. 29
Material: ZrZnRe
Method: DFT, PBE
State: relaxed

```
ZrZnRe
1.0
2.728 0.000 0.000
0.000 4.236 0.000
0.000 0.000 8.865
Zr Zn Re
2 2 2
Direct
0.000 0.000 0.000
0.500 0.500 0.500
0.000 0.000 0.321
0.500 0.500 0.821
0.000 0.000 0.675
0.500 0.500 0.175
```

Results
M_tot ... 0.000 μB/atom
Excess energy over the best structure of this formula in the dataset ... 296 meV/atom
Theoretical density ... 11.114 g/cm³
ΔE_f ... 54.6 meV per atom